Entry from Alexandria via LeMat-Bulk: BeCoP2 after structural relaxation (GGA-PBE).

Cell and atoms, written as POSCAR:
```
BeCoP2
1.0
6.684 0.029 0.017
6.052 2.838 0.017
6.052 1.362 2.490
Be P Co
1 2 1
direct
0.250 0.250 0.250 Be
0.000 0.000 0.000 P
0.500 0.500 0.500 P
0.750 0.750 0.750 Co
```

Output
The symmetry is No. 166. The formation energy is 4 meV/atom. As for the electronic total energy: -5.409 eV per atom. The density of states at the Fermi level comes out at 3.1 states/eV per cell.